1.
A plane-wave DFT calculation with PBE-GGA was carried out for a relaxed structure of Pm3Zn6Rh5.

Structure (POSCAR):
```
Pm3Zn6Rh5
1.0
4.185 0.000 0.000
0.000 12.688 0.000
0.000 0.000 9.538
Pm Zn Rh
6 12 10
direct
0.250 0.060 0.246
0.250 0.440 0.246
0.250 0.750 0.263
0.750 0.250 0.737
0.750 0.560 0.754
0.750 0.940 0.754
0.250 0.069 0.587
0.250 0.250 0.030
0.250 0.250 0.434
0.250 0.431 0.587
0.250 0.601 0.985
0.250 0.899 0.985
0.750 0.101 0.015
0.750 0.399 0.015
0.750 0.569 0.413
0.750 0.750 0.566
0.750 0.750 0.970
0.750 0.931 0.413
0.250 0.090 0.859
0.250 0.410 0.859
0.250 0.637 0.538
0.250 0.750 0.789
0.250 0.863 0.538
0.750 0.137 0.462
0.750 0.250 0.211
0.750 0.363 0.462
0.750 0.590 0.141
0.750 0.910 0.141
```

electronic total energy = -133.066 eV per cell
D(E_F) = 5.2 states/eV/f.u.
formation enthalpy at 0 K = -563 meV/atom
space group = Pmmn (59)
total magnetization = 0.00 μB per cell



2.
A plane-wave DFT calculation with PBE-GGA was carried out for a relaxed structure of SrLaTe.

Structure (POSCAR):
```
SrLaTe
1.0
-2.009 2.009 7.103
2.009 -2.009 7.103
2.009 2.009 -7.103
Sr La Te
1 1 1
direct
0.000 0.000 0.000
0.273 0.273 0.000
0.652 0.652 0.000
```

electronic total energy = -12.395 eV per cell
polymorph energy (0 for the lowest one) = 0.026 eV/atom
D(E_F) = 3.6 states/eV/f.u.
formation energy without anion corrections = -881 meV/atom
space group = I4mm (107)
total magnetization = 0.58 μB per cell



3.
A plane-wave DFT calculation with PBE-GGA was carried out for a relaxed structure of La2DyEr3.

Structure (POSCAR):
```
La2DyEr3
1.0
6.208 0.000 0.000
1.048 6.146 0.000
0.051 3.133 10.323
La Dy Er
4 2 6
direct
0.125 0.250 0.125
0.375 0.749 0.375
0.625 0.251 0.625
0.875 0.750 0.875
0.128 0.250 0.791
0.872 0.750 0.209
0.121 0.250 0.459
0.372 0.750 0.709
0.378 0.749 0.041
0.622 0.251 0.959
0.628 0.250 0.291
0.879 0.750 0.541
```

electronic total energy = -55.918 eV per cell
polymorph energy (0 for the lowest one) = 0.000 eV/atom
D(E_F) = 8.5 states/eV/f.u.
formation enthalpy at 0 K = 31 meV/atom
space group = P-1 (2)
total magnetization = 0.00 μB per cell



4.
A plane-wave DFT calculation with PBE-GGA was carried out for a relaxed structure of CeNpRhAu.

Structure (POSCAR):
```
CeNpRhAu
1.0
0.000 3.397 3.397
3.397 0.000 3.397
3.397 3.397 0.000
Ce Np Rh Au
1 1 1 1
direct
0.000 0.000 0.000
0.250 0.250 0.250
0.500 0.500 0.500
0.750 0.750 0.750
```

electronic total energy = -31.142 eV per cell
D(E_F) = 11.6 states/eV/f.u.
formation enthalpy at 0 K = -410 meV/atom
space group = F-43m (216)
total magnetization = 3.86 μB per cell



5.
A plane-wave DFT calculation with PBE-GGA was carried out for a relaxed structure of NbCr3Cu2S8.

Structure (POSCAR):
```
NbCr3Cu2S8
1.0
3.439 0.000 0.000
0.000 12.550 0.000
0.000 0.000 12.353
Nb Cr Cu S
2 6 4 16
direct
0.000 0.088 0.000
0.500 0.912 0.500
0.000 0.257 0.505
0.000 0.575 0.840
0.000 0.746 0.328
0.500 0.254 0.828
0.500 0.425 0.340
0.500 0.743 0.005
0.000 0.407 0.671
0.000 0.940 0.815
0.500 0.060 0.315
0.500 0.593 0.171
0.000 0.223 0.700
0.000 0.274 0.966
0.000 0.302 0.317
0.000 0.554 0.300
0.000 0.602 0.025
0.000 0.870 0.983
0.000 0.917 0.638
0.000 0.935 0.351
0.500 0.065 0.851
0.500 0.083 0.138
0.500 0.130 0.483
0.500 0.398 0.525
0.500 0.446 0.800
0.500 0.698 0.817
0.500 0.726 0.466
0.500 0.777 0.200
```

electronic total energy = -175.943 eV per cell
polymorph energy (0 for the lowest one) = 0.134 eV/atom
D(E_F) = 3.5 states/eV/f.u.
formation energy without anion corrections = -559 meV/atom
space group = Pmn2_1 (31)
total magnetization = 17.23 μB per cell



6.
A plane-wave DFT calculation with PBE-GGA was carried out for a relaxed structure of NdPaRu2.

Structure (POSCAR):
```
NdPaRu2
1.0
0.000 3.469 3.469
3.469 0.000 3.469
3.469 3.469 0.000
Nd Pa Ru
1 1 2
direct
0.000 0.000 0.000
0.500 0.500 0.500
0.250 0.250 0.250
0.750 0.750 0.750
```

electronic total energy = -33.706 eV per cell
D(E_F) = 4.1 states/eV/f.u.
formation enthalpy at 0 K = -223 meV/atom
space group = Fm-3m (225)
total magnetization = 0.00 μB per cell



7.
A plane-wave DFT calculation with PBE-GGA was carried out for a relaxed structure of Mg2TiMnCo.

Structure (POSCAR):
```
Mg2TiMnCo
1.0
5.090 0.000 0.000
0.000 5.090 0.000
0.000 0.000 3.992
Mg Ti Mn Co
2 1 1 1
direct
0.000 0.500 0.000
0.500 0.000 0.000
0.000 0.000 0.000
0.500 0.500 0.500
0.000 0.000 0.500
```

electronic total energy = -19.848 eV per cell
D(E_F) = 5.9 states/eV/f.u.
formation enthalpy at 0 K = 1502 meV/atom
space group = P4/mmm (123)
total magnetization = 0.19 μB per cell



8.
A plane-wave DFT calculation with PBE-GGA was carried out for a relaxed structure of HfBRh3.

Structure (POSCAR):
```
HfBRh3
1.0
4.128 0.000 0.000
0.000 4.128 0.000
0.000 0.000 4.128
Hf B Rh
1 1 3
direct
0.000 0.000 0.000
0.500 0.500 0.500
0.000 0.500 0.500
0.500 0.000 0.500
0.500 0.500 0.000
```

electronic total energy = -42.608 eV per cell
polymorph energy (0 for the lowest one) = 0.000 eV/atom
D(E_F) = 0.0 states/eV/f.u.
formation enthalpy at 0 K = -784 meV/atom
space group = Pm-3m (221)
total magnetization = 0.00 μB per cell